# 1
The following is a PBE-GGA calculation of crystalline CsBeTe2O8 at its relaxed geometry, from Alexandria via LeMat-Bulk.

VASP energy: -5.232 eV/atom

Unit cell a=5.1071 b=5.1071 c=9.4732 alpha=90.00 beta=90.00 gamma=120.00
Space group P-3 (No. 147)
Inequivalent atoms, fractional coordinates:
1 Cs 0.0000 0.0000 0.0000 x1
2 Be 0.0000 0.0000 0.5000 x1
3 Te 0.3333 0.6667 0.6696 x2
4 O 0.0090 0.2948 0.6143 x6
5 O 0.3333 0.6667 0.8628 x2

---

# 2
The following is a PBE-GGA calculation of crystalline CsThBeO4 at its relaxed geometry, from Alexandria via LeMat-Bulk.

VASP energy: -7.095 eV/atom

Unit cell a=5.790 b=5.076 c=8.302 alpha=90.00 beta=104.95 gamma=90.00
Space group P2_1/m (No. 11)
Inequivalent atoms, fractional coordinates:
1 Cs 0.234 0.250 0.442 x2
2 Th 0.242 0.250 0.945 x2
3 Be 0.267 0.750 0.157 x2
4 O 0.081 0.750 0.273 x2
5 O 0.106 0.750 0.960 x2
6 O 0.468 0.515 0.173 x4

---

# 3
The following is a PBE-GGA calculation of crystalline CsTmBeO3 at its relaxed geometry, from Alexandria via LeMat-Bulk.

VASP energy: -6.661 eV/atom

Unit cell a=7.942 b=3.411 c=8.159 alpha=90.00 beta=113.12 gamma=90.00
Space group P2_1/m (No. 11)
Inequivalent atoms, fractional coordinates:
1 Cs 0.243 0.250 0.215 x2
2 Tm 0.156 0.250 0.665 x2
3 Be 0.393 0.750 0.936 x2
4 O 0.145 0.750 0.482 x2
5 O 0.180 0.750 0.857 x2
6 O 0.456 0.250 0.867 x2

---

# 4
The following is a PBE-GGA calculation of crystalline CsUBe2O6 at its relaxed geometry, from Alexandria via LeMat-Bulk.

VASP energy: -7.289 eV/atom

Unit cell a=9.335 b=10.375 c=6.026 alpha=90.00 beta=105.84 gamma=90.00
Space group C2/c (No. 15)
Inequivalent atoms, fractional coordinates:
1 Cs 0.000 0.095 0.250 x4
2 U 0.000 0.320 0.750 x4
3 Be 0.205 0.427 0.146 x8
4 O 0.050 0.341 0.080 x8
5 O 0.153 0.170 0.767 x8
6 O 0.188 0.465 0.841 x8

---

# 5
The following is a PBE-GGA calculation of crystalline Cs2UBe2O6 at its relaxed geometry, from Alexandria via LeMat-Bulk.

VASP energy: -7.136 eV/atom

Unit cell a=5.6657 b=5.6657 c=20.5203 alpha=90.00 beta=90.00 gamma=120.00
Space group R-3m (No. 166, hexagonal axes)
Inequivalent atoms, fractional coordinates:
1 Cs 0.0000 0.0000 0.2131 x6
2 U 0.0000 0.0000 0.0000 x3
3 Be 0.0000 0.0000 0.3910 x6
4 O 0.0158 0.5079 0.2738 x18